{
  "formula": "Hg2GeCl2",
  "functional": "PBE-GGA",
  "state": "relaxed",
  "lattice_angstrom": [[-0.095, -1.464, -4.381], [4.426, 1.225, -0.506], [3.918, -5.699, -0.616]],
  "species": ["Cl", "Cl", "Hg", "Hg", "Ge"],
  "fractional_positions": [[0.250, 0.750, 0.500], [0.750, 0.250, 0.500], [0.611, 0.611, 0.778], [0.389, 0.389, 0.222], [0.000, 0.000, 0.000]],
  "de_polymorph_mev_per_atom": 236,
  "magmom_total_mub_per_fu": 0.75,
  "space_group": "I4/mmm (139)",
  "raw_formation_energy_ev_per_fu": 1.03,
  "final_energy_ev_per_atom": -1.578
}

---

{
  "formula": "Sr2Al9Ir3",
  "functional": "PBE-GGA",
  "state": "relaxed",
  "lattice_angstrom": [[-3.239, 3.983, 5.682], [2.180, -7.258, 1.101], [10.364, 2.905, -1.244]],
  "species": ["Al", "Al", "Al", "Al", "Al", "Al", "Al", "Al", "Al", "Al", "Al", "Al", "Al", "Al", "Al", "Al", "Al", "Al", "Ir", "Ir", "Ir", "Ir", "Ir", "Ir", "Sr", "Sr", "Sr", "Sr"],
  "fractional_positions": [[0.542, 0.352, 0.069], [0.867, 0.014, 0.047], [0.217, 0.527, 0.569], [0.669, 0.715, 0.752], [0.331, 0.285, 0.248], [0.875, 0.125, 0.750], [0.467, 0.820, 0.453], [0.125, 0.875, 0.250], [0.792, 0.307, 0.936], [0.133, 0.986, 0.953], [0.871, 0.856, 0.564], [0.783, 0.473, 0.431], [0.463, 0.917, 0.748], [0.208, 0.693, 0.064], [0.533, 0.180, 0.547], [0.129, 0.144, 0.436], [0.458, 0.648, 0.931], [0.537, 0.083, 0.252], [0.171, 0.341, 0.001], [0.829, 0.659, 0.999], [0.840, 0.170, 0.499], [0.500, 0.000, 0.000], [0.500, 0.500, 0.500], [0.160, 0.830, 0.501], [0.996, 0.585, 0.749], [0.336, 0.247, 0.751], [0.664, 0.753, 0.249], [0.004, 0.415, 0.251]],
  "delta_e_f_ev_per_fu": -9.383,
  "magmom_total_mub_per_fu": 0.00,
  "space_group": "C2/c (15)",
  "final_energy_ev_per_atom": -5.215
}

---

{
  "formula": "K2SrCo",
  "functional": "PBE-GGA",
  "state": "relaxed",
  "lattice_angstrom": [[-1.143, 4.833, 0.693], [-3.404, -1.305, 3.485], [4.529, 0.415, 4.579]],
  "species": ["K", "K", "Co", "Sr"],
  "fractional_positions": [[0.000, 0.000, 0.000], [0.500, 0.500, 0.000], [0.000, 0.500, 0.500], [0.500, 0.000, 0.500]],
  "de_polymorph_mev_per_atom": 198,
  "delta_e_f_ev_per_fu": 2.914,
  "magmom_total_mub_per_fu": 1.47,
  "space_group": "Pmmm (47)",
  "final_energy_ev_per_atom": -2.017
}

---

{
  "formula": "CsK2Pd2",
  "functional": "PBE-GGA",
  "state": "relaxed",
  "lattice_angstrom": [[5.427, 0.000, 0.000], [0.000, 5.427, 0.000], [2.713, 2.713, 6.343]],
  "species": ["Pd", "Pd", "K", "K", "Cs"],
  "fractional_positions": [[0.604, 0.604, 0.793], [0.396, 0.396, 0.207], [0.750, 0.250, 0.500], [0.250, 0.750, 0.500], [0.000, 0.000, 0.000]],
  "delta_e_f_ev_per_fu": 0.794,
  "magmom_total_mub_per_fu": 0.00,
  "space_group": "I4/mmm (139)",
  "final_energy_ev_per_atom": -2.528
}

---

{
  "formula": "YAlTc2",
  "functional": "PBE-GGA",
  "state": "relaxed",
  "lattice_angstrom": [[4.620, -0.057, -0.013], [0.048, 4.620, -0.012], [-2.343, -2.290, 3.269]],
  "species": ["Y", "Tc", "Tc", "Al"],
  "fractional_positions": [[0.500, 0.500, 0.000], [0.252, 0.748, 0.500], [0.999, 0.001, 0.000], [0.749, 0.251, 0.500]],
  "delta_e_f_ev_per_fu": 0.193,
  "magmom_total_mub_per_fu": 0.00,
  "space_group": "Imm2 (44)",
  "final_energy_ev_per_atom": -7.686
}

---

{
  "formula": "LaRhPb2",
  "functional": "PBE-GGA",
  "state": "relaxed",
  "lattice_angstrom": [[8.351, -2.027, -0.061], [8.351, 2.027, -0.061], [7.885, 0.000, 3.418]],
  "species": ["La", "Rh", "Pb", "Pb"],
  "fractional_positions": [[0.227, 0.227, 0.227], [0.500, 0.500, 0.500], [0.005, 0.005, 0.005], [0.768, 0.768, 0.768]],
  "delta_e_f_ev_per_fu": -0.918,
  "magmom_total_mub_per_fu": 0.00,
  "space_group": "R3m (160)",
  "final_energy_ev_per_atom": -5.153
}

---

{
  "formula": "KAlGePb",
  "functional": "PBE-GGA",
  "state": "relaxed",
  "lattice_angstrom": [[-1.091, -0.631, -4.107], [-0.979, -4.088, 0.888], [-12.742, 3.666, 2.823]],
  "species": ["Ge", "Ge", "K", "K", "Al", "Al", "Pb", "Pb"],
  "fractional_positions": [[0.250, 0.250, 0.115], [0.750, 0.750, 0.885], [0.250, 0.250, 0.762], [0.750, 0.750, 0.238], [0.750, 0.250, 0.000], [0.250, 0.750, 0.000], [0.750, 0.250, 0.500], [0.250, 0.750, 0.500]],
  "delta_e_f_ev_per_fu": -0.277,
  "magmom_total_mub_per_fu": 0.00,
  "space_group": "P4/nmm (129)",
  "final_energy_ev_per_atom": -3.361
}

---

{
  "formula": "Ba2PmIrO6",
  "functional": "PBE-GGA",
  "state": "relaxed",
  "lattice_angstrom": [[6.054, 0.000, 0.000], [3.027, 5.243, 0.000], [3.027, 1.748, 4.943]],
  "species": ["O", "O", "O", "O", "O", "O", "Pm", "Ir", "Ba", "Ba"],
  "fractional_positions": [[0.232, 0.768, 0.232], [0.768, 0.768, 0.232], [0.768, 0.232, 0.232], [0.768, 0.232, 0.768], [0.232, 0.232, 0.768], [0.232, 0.768, 0.768], [0.500, 0.500, 0.500], [0.000, 0.000, 0.000], [0.750, 0.750, 0.750], [0.250, 0.250, 0.250]],
  "magmom_total_mub_per_fu": 2.04,
  "space_group": "Fm-3m (225)",
  "raw_formation_energy_ev_per_fu": -22.91,
  "final_energy_ev_per_atom": -7.012
}

---

Please write out number 5 again, unchanged.
{
  "formula": "YAlTc2",
  "functional": "PBE-GGA",
  "state": "relaxed",
  "lattice_angstrom": [[4.620, -0.057, -0.013], [0.048, 4.620, -0.012], [-2.343, -2.290, 3.269]],
  "species": ["Y", "Tc", "Tc", "Al"],
  "fractional_positions": [[0.500, 0.500, 0.000], [0.252, 0.748, 0.500], [0.999, 0.001, 0.000], [0.749, 0.251, 0.500]],
  "delta_e_f_ev_per_fu": 0.193,
  "magmom_total_mub_per_fu": 0.00,
  "space_group": "Imm2 (44)",
  "final_energy_ev_per_atom": -7.686
}

---

> What is the formula in the first record?

Hg2GeCl2